# PBE with a Hubbard U TlCoAsO4, relaxed
data_TlCoAsO4
_chemical_formula_sum 'Tl2 Co2 As2 O8'
_cell_length_a 5.339
_cell_length_b 5.600
_cell_length_c 7.771
_cell_angle_alpha 90.00
_cell_angle_beta 93.02
_cell_angle_gamma 90.00
_space_group_name_H-M_alt 'P 1 21/m 1'
_space_group_IT_number 11
loop_
_space_group_symop_operation_xyz
'x,y,z'
'-x,-y,-z'
'-x,y+1/2,-z'
'x,-y+1/2,z'
loop_
_atom_site_label
_atom_site_type_symbol
_atom_site_fract_x
_atom_site_fract_y
_atom_site_fract_z
_atom_site_occupancy
Tl1 Tl 0.218 0.250 0.140 1
Co1 Co 0.187 0.750 0.465 1
As1 As 0.320 0.250 0.645 1
O1 O 0.109 0.014 0.659 1
O2 O 0.409 0.750 0.225 1
O3 O 0.442 0.250 0.442 1
# - crystal system = monoclinic
# - total moment (μB/f.u.) = 3.03
# - final energy (eV/atom) = -5.6553